(1)
A relaxed structure of CaCd3AgPd. Source: Alexandria, functional PBE.

energy relative to the elements: -0.191 eV per atom
uncorrected energy: -55.75 eV for the cell shown

```
data_CaCd3AgPd
_symmetry_space_group_name_H-M 'C m c m'
_symmetry_Int_Tables_number 63
_symmetry_space_group_name_Hall '-C 2c 2'
_cell_length_a 9.1350
_cell_length_b 11.5906
_cell_length_c 5.7816
_cell_angle_alpha 90.00
_cell_angle_beta 90.00
_cell_angle_gamma 90.00
loop_
_atom_site_label
_atom_site_type_symbol
_atom_site_fract_x
_atom_site_fract_y
_atom_site_fract_z
Ca1 Ca 0.0000 0.1774 0.2500
Cd1 Cd 0.0000 0.3169 0.7500
Cd2 Cd 0.2426 0.0000 0.0000
Ag1 Ag 0.0000 0.4368 0.2500
Pd1 Pd 0.0000 0.0791 0.7500
```

(2)
A relaxed structure of Cs3Mn2HgBr9. Source: Alexandria, functional PBE.

raw formation energy: -1.12 eV per atom
uncorrected energy: -53.02 eV for the cell shown

```
data_Cs3Mn2HgBr9
_symmetry_space_group_name_H-M 'P -3 m 1'
_symmetry_Int_Tables_number 164
_symmetry_space_group_name_Hall '-P 3 2"'
_cell_length_a 7.7940
_cell_length_b 7.7940
_cell_length_c 9.5660
_cell_angle_alpha 90.00
_cell_angle_beta 90.00
_cell_angle_gamma 120.00
loop_
_atom_site_label
_atom_site_type_symbol
_atom_site_fract_x
_atom_site_fract_y
_atom_site_fract_z
Cs1 Cs 0.0000 0.0000 0.0000
Cs2 Cs 0.3333 0.6667 0.6653
Mn1 Mn 0.3333 0.6667 0.1606
Hg1 Hg 0.0000 0.0000 0.5000
Br1 Br 0.0000 0.5000 0.0000
Br2 Br 0.1724 0.3448 0.3245
```

(3)
A relaxed structure of Sb2IrRh. Source: Alexandria, functional PBE.

ΔE to the lowest computed polymorph: 21.82 kJ per mole of atoms
raw formation energy: 0.02 eV per atom
uncorrected energy: -48.73 eV for the cell shown

```
data_Sb2IrRh
_symmetry_space_group_name_H-M 'I m m 2'
_symmetry_Int_Tables_number 44
_symmetry_space_group_name_Hall 'I 2 -2'
_cell_length_a 3.0745
_cell_length_b 4.3238
_cell_length_c 13.0319
_cell_angle_alpha 90.00
_cell_angle_beta 90.00
_cell_angle_gamma 90.00
loop_
_atom_site_label
_atom_site_type_symbol
_atom_site_fract_x
_atom_site_fract_y
_atom_site_fract_z
Sb1 Sb 0.0000 0.0000 0.0000
Sb2 Sb 0.0000 0.5000 0.2443
Ir1 Ir 0.0000 0.0000 0.5603
Rh1 Rh 0.0000 0.5000 0.6931
```

(4)
A relaxed structure of TmCuBr6. Source: Alexandria, functional PBE.

raw formation energy: -0.91 eV per atom
uncorrected energy: -25.92 eV for the cell shown

```
data_TmCuBr6
_symmetry_space_group_name_H-M 'P -1'
_symmetry_Int_Tables_number 2
_symmetry_space_group_name_Hall '-P 1'
_cell_length_a 5.7691
_cell_length_b 7.1147
_cell_length_c 7.8527
_cell_angle_alpha 69.25
_cell_angle_beta 72.83
_cell_angle_gamma 85.86
loop_
_atom_site_label
_atom_site_type_symbol
_atom_site_fract_x
_atom_site_fract_y
_atom_site_fract_z
Tm1 Tm 0.0000 0.0000 0.0000
Cu1 Cu 0.5000 0.5000 0.0000
Br1 Br 0.0233 0.8142 0.3550
Br2 Br 0.2800 0.3652 0.8484
Br3 Br 0.4123 0.8262 0.8187
```